# Nb3Co3HRu2 (PBE-GGA, optimized geometry)
data_Nb3Co3HRu2
_chemical_formula_sum 'Nb3 Co3 H1 Ru2'
_cell_length_a 6.6588
_cell_length_b 6.6588
_cell_length_c 3.1180
_cell_angle_alpha 90.00
_cell_angle_beta 90.00
_cell_angle_gamma 120.00
_space_group_name_H-M_alt 'P -6 2 m'
_space_group_IT_number 189
_space_group_name_Hall 'P -6 -2'
loop_
_atom_site_label
_atom_site_fract_x
_atom_site_fract_y
_atom_site_fract_z
Nb1 0.0000 0.6300 0.0000
Co1 0.0000 0.2167 0.5000
H1 0.0000 0.0000 0.0000
Ru1 0.3333 0.6667 0.5000
# Magnetization   0.000 μB per formula unit
# Total energy   -73.04 eV for the cell shown